[1]
AcTmVO6: relaxed, PBE+U.

## Properties
D(E_F): 0.82 states/eV/atom

abc: 5.4704 5.4704 5.2295
angles: 90.00 90.00 120.00
Space group P312 (No. 149)
Inequivalent atoms, fractional coordinates:
Ac (0.0000, 0.0000, 0.0000) [1 per cell]
Tm (0.6667, 0.3333, 0.5000) [1 per cell]
V (0.3333, 0.6667, 0.5000) [1 per cell]
O (0.0407, 0.3873, 0.2916) [6 per cell]

***

[2]
AcTmV2O8: relaxed, PBE+U.

## Properties
D(E_F): 0.00 states/eV/atom

abc: 5.6983 5.6983 7.1977
angles: 90.00 90.00 120.00
Space group P-3m1 (No. 164)
Inequivalent atoms, fractional coordinates:
Ac (0.0000, 0.0000, 0.0000) [1 per cell]
Tm (0.0000, 0.0000, 0.5000) [1 per cell]
V (0.3333, 0.6667, 0.7822) [2 per cell]
O (0.1629, 0.3259, 0.7116) [6 per cell]
O (0.3333, 0.6667, 0.0162) [2 per cell]

***

[3]
AcTmWO6: relaxed, PBE+U.

## Properties
D(E_F): 0.00 states/eV/atom

abc: 5.5641 5.5641 5.2542
angles: 90.00 90.00 120.00
Space group P312 (No. 149)
Inequivalent atoms, fractional coordinates:
Ac (0.0000, 0.0000, 0.0000) [1 per cell]
Tm (0.3333, 0.6667, 0.5000) [1 per cell]
W (0.6667, 0.3333, 0.5000) [1 per cell]
O (0.3841, 0.0341, 0.7108) [6 per cell]

***

[4]
Ac2TmWO8: relaxed, PBE+U.

## Properties
D(E_F): 0.84 states/eV/atom

abc: 7.489 7.678 7.027
angles: 90.00 90.00 90.00
Space group Cmmm (No. 65)
Inequivalent atoms, fractional coordinates:
Ac (0.000, 0.000, 0.246) [4 per cell]
Tm (0.000, 0.500, 0.500) [2 per cell]
W (0.000, 0.500, 0.000) [2 per cell]
O (0.000, 0.331, 0.213) [8 per cell]
O (0.209, 0.000, 0.500) [4 per cell]
O (0.242, 0.000, 0.000) [4 per cell]

***

no.,electronic total energy (eV/atom)
1,-7.6779
2,-7.9456
3,-8.0246
4,-7.6902